Material: AlCoMo2P
Method: DFT, PBE
State: relaxed

## Properties
ΔH_f (0 K)   7.3 eV/f.u.
Total DFT energy (no corrections)   -30.64 eV per cell

Geometry as POSCAR:
```
AlCoMo2P
1.0
4.595 0.000 0.000
0.000 4.020 0.000
0.000 0.000 4.595
P Mo Co Al
1 2 1 1
direct
0.500 0.500 0.500
0.000 0.000 0.500
0.500 0.000 0.000
0.000 0.500 0.000
0.000 0.000 0.000
```



Material: CeMgPa
Method: DFT, PBE
State: relaxed

## Properties
Relative energy among the computed polymorphs   93.9 meV per atom
ΔH_f (0 K)   0.3 eV/f.u.
Total DFT energy (no corrections)   -16.69 eV per cell

Geometry as POSCAR:
```
CeMgPa
1.0
-0.689 3.058 0.066
-0.008 -1.666 2.656
8.529 1.896 1.216
Mg Pa Ce
1 1 1
direct
0.000 0.000 0.996
0.333 0.667 0.670
0.667 0.333 0.334
```



Material: Ac2CuSi3
Method: DFT, PBE
State: relaxed

## Properties
Relative energy among the computed polymorphs   0.0 meV per atom
Total DFT energy (no corrections)   -64.96 eV per cell

Geometry as POSCAR:
```
Ac2CuSi3
1.0
-2.698 -5.635 -0.215
3.880 -2.818 4.011
-4.884 6.075 3.554
Ac Cu Si
4 2 6
direct
0.250 0.750 0.500
0.756 0.756 0.000
0.750 0.250 0.500
0.244 0.244 0.000
0.666 0.666 0.332
0.334 0.334 0.668
0.338 0.830 0.168
0.170 0.662 0.832
0.662 0.170 0.832
0.830 0.338 0.168
0.168 0.168 0.337
0.832 0.832 0.663
```



Material: UFeSe2
Method: DFT, PBE
State: relaxed

## Properties
Total DFT energy (no corrections)   -27.57 eV per cell

Geometry as POSCAR:
```
UFeSe2
1.0
-2.277 -3.181 -0.689
1.363 -3.637 0.834
-3.362 -1.703 7.522
U Fe Se
1 1 2
direct
0.500 0.500 0.500
0.000 0.000 0.000
0.096 0.096 0.713
0.904 0.904 0.287
```



Question: Look up the total DFT energy (no corrections) of the third one.
Answer: -64.96 eV per cell